Record 1
Density functional theory data (PBE) for AsPtSe2 after structural relaxation.

Output
As for the density of states at the Fermi level: 2.593 states/eV per cell. Its formation energy without anion corrections is 0.405 eV/atom. For the final energy, the calculation gives -4.010 eV per atom. The magnetization comes out at 0.0 μB per formula unit. The space-group type is Pmmm.

abc: 3.1219 5.0112 4.6780
angles: 90.00 90.00 90.00
Positions (direct):
Pt  0.0000  0.5000  0.5000
As  0.5000  0.0000  0.5000
Se  0.0000  0.0000  0.0000
Se  0.5000  0.5000  0.0000

Record 2
Density functional theory data (PBE) for Ac3AuSe6 after structural relaxation.

Output
Its formation energy without anion corrections is -1.454 eV/atom. For the final energy, the calculation gives -5.105 eV per atom. The magnetization comes out at 0.0 μB per formula unit. The space-group type is Cmc2_1.

abc: 7.5109 9.5282 9.5282
angles: 100.40 90.00 90.00
Positions (direct):
Ac  0.4597  0.9053  0.7069
Ac  0.8527  0.5976  0.4024
Ac  0.9597  0.7069  0.9053
Ac  0.4597  0.2931  0.0947
Ac  0.3527  0.4024  0.5976
Ac  0.9597  0.0947  0.2931
Se  0.6769  0.9840  0.0160
Se  0.2092  0.4490  0.9145
Se  0.7092  0.9145  0.4490
Se  0.7326  0.1507  0.8493
Se  0.7092  0.5510  0.0855
Se  0.1769  0.0160  0.9840
Se  0.6550  0.6212  0.6917
Se  0.2326  0.8493  0.1507
Se  0.6550  0.3083  0.3788
Se  0.1550  0.6917  0.6212
Se  0.2092  0.0855  0.5510
Se  0.1550  0.3788  0.3083
Au  0.5753  0.7844  0.2156
Au  0.0753  0.2156  0.7844